<i>
VASP calculation (GGA-PBE) on a geometry-optimized HfGaFeHg structure.

Values from the calculation:
Total moment ... 1.7 μB per cell
SG ... F-43m, No. 216

a = 4.6158 Å, b = 4.6158 Å, c = 4.6158 Å
α = 60.00°, β = 60.00°, γ = 60.00°
With the nearest neighbours (Å) after each atom.
Fractional positions:
Hf  0.5000  0.5000  0.5000  4 Fe 2.83, 4 Hg 2.83
Ga  0.0000  0.0000  0.0000  4 Fe 2.83, 4 Hg 2.83
Fe  0.7500  0.7500  0.7500  4 Hf 2.83, 4 Ga 2.83
Hg  0.2500  0.2500  0.2500  4 Hf 2.83, 4 Ga 2.83

=====

<ii>
VASP calculation (GGA-PBE) on a geometry-optimized HfGaFeHg structure.

Values from the calculation:
Total moment ... 2.2 μB per cell
SG ... F-43m, No. 216

a = 4.6204 Å, b = 4.6204 Å, c = 4.6204 Å
α = 60.00°, β = 60.00°, γ = 60.00°
With the nearest neighbours (Å) after each atom.
Fractional positions:
Fe  0.7500  0.7500  0.7500  4 Ga 2.83, 4 Hg 2.83
Hg  0.5000  0.5000  0.5000  4 Fe 2.83, 4 Hf 2.83
Ga  0.0000  0.0000  0.0000  4 Fe 2.83, 4 Hf 2.83
Hf  0.2500  0.2500  0.2500  4 Hg 2.83, 4 Ga 2.83

=====

Which of them is the most stable? Correct choice: <ii>.